# La7Sm12Ho, optimized geometry, DFT GGA-PBE
# Energy relative to the lowest polymorph listed for this composition   500 meV per atom
# Fermi-level density of states   68.181 states/eV/cell
# E_tot   -4.208 eV per atom
# Energy relative to the elements   0.577 eV per atom
data_La7Sm12Ho
_chemical_formula_sum 'La14 Sm24 Ho2'
_symmetry_space_group_name_H-M 'I m -3'
_symmetry_Int_Tables_number 204
_symmetry_space_group_name_Hall '-I 2 2 3'
_cell_length_a 11.538
_cell_length_b 11.538
_cell_length_c 11.538
_cell_angle_alpha 90.00
_cell_angle_beta 90.00
_cell_angle_gamma 90.00
loop_
_atom_site_label
_atom_site_type_symbol
_atom_site_fract_x
_atom_site_fract_y
_atom_site_fract_z
La1 La 0.000 0.000 0.500
La2 La 0.250 0.250 0.250
Sm1 Sm 0.000 0.246 0.247
Ho1 Ho 0.000 0.000 0.000